No. 1
The following is a DFT calculation (PBE) of a geometry-optimized Pm5Te4Ir structure.

Cell lengths 16.184, 16.184, 16.184 Å; angles 164.45, 164.45, 22.06 degrees
Element x y z (fractional)
Pm 0.000 0.000 0.000
Pm 0.209 0.209 0.000
Pm 0.415 0.415 0.000
Pm 0.585 0.585 0.000
Pm 0.791 0.791 0.000
Te 0.104 0.104 0.000
Te 0.309 0.309 0.000
Te 0.691 0.691 0.000
Te 0.896 0.896 0.000
Ir 0.500 0.500 0.000

Results
Crystal system ... tetragonal
Electronic total energy ... -5.769 eV per atom
Energy relative to the elements, uncorrected ... -1.251 eV/atom

No. 2
The following is a DFT calculation (PBE) of a geometry-optimized Tb4Sm5Th4 structure.

Cell lengths 9.515, 9.515, 9.515 Å; angles 94.07, 94.07, 149.09 degrees
Element x y z (fractional)
Tb 0.153 0.766 0.919
Tb 0.234 0.153 0.387
Tb 0.766 0.847 0.613
Tb 0.847 0.234 0.081
Sm 0.000 0.000 0.000
Sm 0.303 0.538 0.842
Sm 0.462 0.303 0.765
Sm 0.538 0.697 0.235
Sm 0.697 0.462 0.158
Th 0.074 0.387 0.460
Th 0.387 0.926 0.313
Th 0.613 0.074 0.687
Th 0.926 0.613 0.540

Results
Crystal system ... tetragonal
Electronic total energy ... -5.488 eV per atom
Formation enthalpy at 0 K ... 0.0345 eV/atom

No. 3
The following is a DFT calculation (PBE) of a geometry-optimized SrAgPb2 structure.

Cell lengths 4.121, 4.884, 6.440 Å; angles 90.00, 107.20, 90.00 degrees
Element x y z (fractional)
Sr 0.000 0.000 0.000
Ag 0.572 0.500 0.163
Pb 0.309 0.500 0.636
Pb 0.718 0.000 0.460

Results
Crystal system ... monoclinic
Electronic total energy ... -3.178 eV per atom
Formation enthalpy at 0 K ... -0.1903 eV/atom

No. 4
The following is a DFT calculation (PBE) of a geometry-optimized Ce6SiRh structure.

Cell lengths 5.947, 5.947, 6.285 Å; angles 99.05, 99.05, 101.42 degrees
Element x y z (fractional)
Ce 0.074 0.654 0.691
Ce 0.321 0.321 0.881
Ce 0.346 0.926 0.309
Ce 0.654 0.074 0.691
Ce 0.679 0.679 0.119
Ce 0.926 0.346 0.309
Si 0.500 0.500 0.500
Rh 0.000 0.000 0.000

Results
Crystal system ... monoclinic
Electronic total energy ... -6.243 eV per atom
Energy relative to the elements, uncorrected ... -0.196 eV/atom

No. 5
The following is a DFT calculation (PBE) of a geometry-optimized ThZnAu4 structure.

Cell lengths 5.601, 5.601, 5.601 Å; angles 60.00, 60.00, 60.00 degrees
Element x y z (fractional)
Th 0.000 0.000 0.000
Zn 0.250 0.250 0.250
Au 0.127 0.624 0.624
Au 0.624 0.127 0.624
Au 0.624 0.624 0.127
Au 0.624 0.624 0.624

Results
E above lowest polymorph ... 69.9 meV/atom
Crystal system ... cubic
Electronic total energy ... -3.957 eV per atom
Formation enthalpy at 0 K ... -0.3231 eV/atom

No. 6
The following is a DFT calculation (PBE) of a geometry-optimized Sr2SiPt4 structure.

Cell lengths 8.588, 8.588, 8.588 Å; angles 148.81, 148.81, 44.69 degrees
Element x y z (fractional)
Sr 0.152 0.152 0.000
Sr 0.848 0.848 0.000
Si 0.500 0.500 0.000
Pt 0.000 0.500 0.500
Pt 0.355 0.355 0.000
Pt 0.500 0.000 0.500
Pt 0.645 0.645 0.000

Results
Crystal system ... tetragonal
Electronic total energy ... -5.233 eV per atom
Energy relative to the elements, uncorrected ... -0.526 eV/atom

No. 7
The following is a DFT calculation (PBE) of a geometry-optimized Ta2BeW structure.

Cell lengths 4.758, 4.758, 4.530 Å; angles 111.95, 111.95, 42.30 degrees
Element x y z (fractional)
Ta 0.242 0.242 0.237
Ta 0.758 0.758 0.763
Be 0.500 0.500 0.000
W 0.000 0.000 0.500

Results
Crystal system ... monoclinic
Electronic total energy ... -9.919 eV per atom
Formation enthalpy at 0 K ... 0.1775 eV/atom

No. 8
The following is a DFT calculation (PBE) of a geometry-optimized RbYSi structure.

Cell lengths 7.014, 7.014, 10.517 Å; angles 90.00, 90.00, 120.00 degrees
Element x y z (fractional)
Rb 0.333 0.667 0.250
Rb 0.667 0.333 0.750
Y 0.000 0.000 0.250
Y 0.000 0.000 0.750
Si 0.000 0.000 0.000
Si 0.000 0.000 0.500

Results
E above lowest polymorph ... 1338.8 meV/atom
Crystal system ... hexagonal
Electronic total energy ... -3.237 eV per atom
Energy relative to the elements, uncorrected ... 1.048 eV/atom